A PBEsol-optimized structure of Y2CoTe, computed with meta-GGA SCAN.

Results
The density of states at the Fermi level comes out at 3.98 states/eV per cell. As for the size of the total moment: 0.142 μB per atom. As for the energy: -27.91 eV per atom. Its space group is Immm. The calculation puts the formation energy without anion corrections at -355 meV per atom.

Cell lengths 4.165, 5.250, 5.250 Å; angles 60.80, 66.63, 66.63 degrees
Atoms (fractional coordinates):
Co1 0.500 0.000 0.000
Te1 0.000 0.500 0.500
Y1 0.220 0.780 0.780
Y2 0.780 0.220 0.220